# KRbSrTa2

KRbSrTa2 after structural relaxation (GGA-PBE, Alexandria).

Cell and atoms, written as POSCAR:
```
KRbSrTa2
1.0
-5.291 -0.072 0.973
-0.196 -6.379 -1.539
0.962 -1.269 5.139
K Rb Sr Ta
1 1 1 2
Cartesian
-2.263 -3.861 2.287
-0.098 -3.190 -0.770
0.000 0.000 0.000
-2.646 -0.036 0.486
0.481 -0.635 2.570
```

## Properties
Calculated formation energy = 2.287 eV per atom
Raw total energy = -3.203 eV per atom
Mass density = 5.015 g/cm³
Space-group type = No. 123
Total magnetic moment = 1.89 μB/f.u.